VASP calculation (GGA-PBE) on a relaxed structure of SnTeOs2Pb. Values from VASP.

The structure in Quantum ESPRESSO input format:
```
&SYSTEM
  ibrav = 0, nat = 5, ntyp = 4
/
ATOMIC_SPECIES
Pb 207.20 Pb.upf
Te 127.60 Te.upf
Os 190.23 Os.upf
Sn 118.71 Sn.upf
CELL_PARAMETERS angstrom
-2.563 -4.255 0.421
4.940 -2.996 -0.204
0.369 0.269 4.964
ATOMIC_POSITIONS angstrom
Pb 1.373 -3.491 2.591
Te 2.470 -1.498 -0.102
Os 0.184 0.135 2.482
Os -1.282 -2.127 0.211
Sn 0.000 0.000 0.000
```

Values from the calculation:
- energy relative to the elements, uncorrected (eV/atom) = 1.867
- M_tot (μB/f.u.) = 3.386
- symmetry = P4/mmm (123)
- density of states at the Fermi level (states/eV/f.u.) = 7.58

VASP calculation (GGA-PBE) on a relaxed structure of CuHgMo2. Values from VASP.

The structure in Quantum ESPRESSO input format:
```
&SYSTEM
  ibrav = 0, nat = 4, ntyp = 3
/
ATOMIC_SPECIES
Cu 63.55 Cu.upf
Hg 200.59 Hg.upf
Mo 95.94 Mo.upf
CELL_PARAMETERS angstrom
5.198 0.009 0.000
2.428 4.596 0.000
-3.813 -2.303 2.679
ATOMIC_POSITIONS angstrom
Cu 1.214 2.298 1.339
Hg 2.599 0.005 1.339
Mo 0.000 0.000 0.000
Mo 3.813 2.303 0.000
```

Values from the calculation:
- M_tot (μB/f.u.) = 0.000
- symmetry = I4/mmm (139)
- density of states at the Fermi level (states/eV/f.u.) = 3.24
- formation energy from the elements (eV/atom) = 0.41

VASP calculation (GGA-PBE) on a relaxed structure of NaLa2NpSe4. Values from VASP.

The structure in Quantum ESPRESSO input format:
```
&SYSTEM
  ibrav = 0, nat = 8, ntyp = 4
/
ATOMIC_SPECIES
Na 22.99 Na.upf
La 138.91 La.upf
Np 237.00 Np.upf
Se 78.96 Se.upf
CELL_PARAMETERS angstrom
-0.206 -2.682 -3.304
0.710 -5.676 4.564
-6.694 -2.253 2.247
ATOMIC_POSITIONS angstrom
Na 0.252 -4.179 0.630
La -6.694 -2.253 2.247
La -3.450 -2.468 -0.529
Np -2.992 -3.965 3.405
Se -4.488 -5.909 5.076
Se -1.702 -4.703 -1.570
Se -1.296 -6.108 2.292
Se -4.894 -4.504 1.214
```

Values from the calculation:
- energy relative to the elements, uncorrected (eV/atom) = -1.604
- M_tot (μB/f.u.) = 4.661
- symmetry = P2/m (10)
- density of states at the Fermi level (states/eV/f.u.) = 13.78